Entry 1:
LiAcTm | GGA-PBE | optimized geometry

Results
magnetic moment	0.05	μB/atom
energy relative to the elements	0.17	eV/atom
energy above the lowest structure with this stoichiometry	76	meV/atom
space group	P3m1, No. 156

Cell lengths 3.690, 3.690, 8.488 Å; angles 90.00, 90.00, 120.00 degrees
Each line ends with the local moment (μB).
Fractional coordinates of all 3 atoms:
Li1 0.000 0.000 0.988  0.01
Ac1 0.667 0.333 0.331  0.00
Tm1 0.333 0.667 0.681  0.08

Entry 2:
Hf2In2I | GGA-PBE | optimized geometry

Results
formation energy (no corrections)	0.0758	eV/atom
magnetic moment	0.00	μB/atom
space group	P4/mbm, No. 127

Cell lengths 7.669, 7.669, 4.242 Å; angles 90.00, 90.00, 90.00 degrees
Fractional coordinates of all 10 atoms:
In1 0.158 0.658 0.500
I1 0.000 0.000 0.000
Hf1 0.137 0.363 0.000
Hf2 0.637 0.137 0.000
In2 0.842 0.342 0.500
In3 0.342 0.158 0.500
Hf3 0.863 0.637 0.000
I2 0.500 0.500 0.000
In4 0.658 0.842 0.500
Hf4 0.363 0.863 0.000

Entry 3:
Ac2TlZn2Pd5 | GGA-PBE | optimized geometry

Results
magnetic moment	0.00	μB/atom
energy relative to the elements	-0.58	eV/atom
space group	P4/mbm, No. 127

Cell lengths 3.917, 10.262, 10.262 Å; angles 90.00, 90.00, 90.00 degrees
Fractional coordinates of all 20 atoms:
Zn1 0.000 0.614 0.886
Pd1 0.500 0.718 0.436
Zn2 0.000 0.114 0.614
Pd2 0.500 0.000 0.500
Ac1 0.000 0.182 0.318
Zn3 0.000 0.886 0.386
Zn4 0.000 0.386 0.114
Pd3 0.500 0.436 0.282
Pd4 0.500 0.282 0.564
Pd5 0.500 0.936 0.218
Pd6 0.500 0.782 0.936
Pd7 0.500 0.500 0.000
Pd8 0.500 0.064 0.782
Pd9 0.500 0.564 0.718
Pd10 0.500 0.218 0.064
Tl1 0.000 0.500 0.500
Ac2 0.000 0.682 0.182
Tl2 0.000 0.000 0.000
Ac3 0.000 0.818 0.682
Ac4 0.000 0.318 0.818

no.,Fermi-level density of states (states/eV/cell),final energy (eV/atom)
1,4.04,-3.325
2,7.08,-5.311
3,9.02,-4.490